Record 1
The following is a DFT calculation (PBE) of an optimized crystal structure of Te2Pt2I.

Lattice parameters (Å, degrees): 7.1785 7.1785 7.1785 147.19 134.76 57.00
Atoms (fractional coordinates):
1 Te 0.1953 0.1953 0.0000
2 Te 0.8047 0.8047 0.0000
3 Pt 0.3293 0.8293 0.5000
4 Pt 0.6707 0.1707 0.5000
5 I 0.5000 0.5000 0.0000

Properties
Final energy, eV per atom: -4.18
Excess energy over the best structure of this formula in the dataset, eV/atom: 0.025
Space-group type: Immm

Record 2
The following is a DFT calculation (PBE) of an optimized crystal structure of TePt3I.

Lattice parameters (Å, degrees): 5.0539 5.0539 5.0539 90.00 90.00 90.00
Atoms (fractional coordinates):
1 Te 0.0000 0.0000 0.0000
2 Pt 0.0000 0.0000 0.5000
3 Pt 0.0000 0.5000 0.0000
4 Pt 0.5000 0.0000 0.0000
5 I 0.5000 0.5000 0.5000

Properties
Final energy, eV per atom: -3.71
Excess energy over the best structure of this formula in the dataset, eV/atom: 0.000
Space-group type: Pm-3m

Record 3
The following is a DFT calculation (PBE) of an optimized crystal structure of TePtI.

Lattice parameters (Å, degrees): 3.9835 3.9835 7.0010 106.02 106.02 59.97
Atoms (fractional coordinates):
1 Te 0.0000 0.0000 0.0000
2 Pt 0.6059 0.6059 0.8127
3 I 0.4708 0.4708 0.4181

Properties
Final energy, eV per atom: -3.64
Space-group type: Cm

Record 4
The following is a DFT calculation (PBE) of an optimized crystal structure of Te4Pt2I.

Lattice parameters (Å, degrees): 13.4094 13.4094 13.4094 17.58 17.58 17.58
Atoms (fractional coordinates):
1 Te 0.1327 0.1327 0.1327
2 Te 0.2687 0.2687 0.2687
3 Te 0.7313 0.7313 0.7313
4 Te 0.8673 0.8673 0.8673
5 Pt 0.4326 0.4326 0.4326
6 Pt 0.5674 0.5674 0.5674
7 I 0.0000 0.0000 0.0000

Properties
Final energy, eV per atom: -4.11
Space-group type: R-3m

Record 5
The following is a DFT calculation (PBE) of an optimized crystal structure of TePtI6.

Lattice parameters (Å, degrees): 7.5123 7.5123 8.0630 105.99 105.99 101.72
Atoms (fractional coordinates):
1 Te 0.0000 0.0000 0.0000
2 Pt 0.0000 0.0000 0.5000
3 I 0.0912 0.7680 0.2492
4 I 0.2320 0.9088 0.7508
5 I 0.3340 0.3340 0.2659
6 I 0.6660 0.6660 0.7341
7 I 0.7680 0.0912 0.2492
8 I 0.9088 0.2320 0.7508

Properties
Final energy, eV per atom: -2.38
Space-group type: C2/m

Record 6
The following is a DFT calculation (PBE) of an optimized crystal structure of Te8Pt4I.

Lattice parameters (Å, degrees): 9.0328 9.0328 12.2206 124.36 124.36 26.33
Atoms (fractional coordinates):
1 Te 0.0402 0.0402 0.2779
2 Te 0.2801 0.2801 0.4059
3 Te 0.3203 0.3203 0.1530
4 Te 0.3974 0.3974 0.9351
5 Te 0.6026 0.6026 0.0649
6 Te 0.6797 0.6797 0.8470
7 Te 0.7199 0.7199 0.5941
8 Te 0.9598 0.9598 0.7221
9 Pt 0.1352 0.1352 0.9521
10 Pt 0.3432 0.3432 0.6753
11 Pt 0.6568 0.6568 0.3247
12 Pt 0.8648 0.8648 0.0479
13 I 0.0000 0.0000 0.5000

Properties
Final energy, eV per atom: -4.23
Space-group type: C2/m

Record 7
The following is a DFT calculation (PBE) of an optimized crystal structure of Te3Pt2I.

Lattice parameters (Å, degrees): 8.2182 8.2182 5.6218 90.00 90.00 120.00
Atoms (fractional coordinates):
1 Te 0.1702 0.3404 0.2716
2 Te 0.1702 0.8298 0.2716
3 Te 0.3404 0.1702 0.7284
4 Te 0.6596 0.8298 0.2716
5 Te 0.8298 0.1702 0.7284
6 Te 0.8298 0.6596 0.7284
7 Pt 0.0000 0.0000 0.5000
8 Pt 0.0000 0.5000 0.5000
9 Pt 0.5000 0.0000 0.5000
10 Pt 0.5000 0.5000 0.5000
11 I 0.3333 0.6667 0.8280
12 I 0.6667 0.3333 0.1720

Properties
Final energy, eV per atom: -4.09
Space-group type: P-3m1

Record 8
The following is a DFT calculation (PBE) of an optimized crystal structure of Te2PtI8.

Lattice parameters (Å, degrees): 9.2652 9.2652 7.6222 93.85 93.85 62.83
Atoms (fractional coordinates):
1 Te 0.2231 0.2231 0.1618
2 Te 0.7769 0.7769 0.8382
3 Pt 0.0000 0.0000 0.5000
4 I 0.1076 0.7129 0.6325
5 I 0.1248 0.1248 0.8466
6 I 0.2871 0.8924 0.3675
7 I 0.3836 0.3836 0.0304
8 I 0.6164 0.6164 0.9696
9 I 0.7129 0.1076 0.6325
10 I 0.8752 0.8752 0.1534
11 I 0.8924 0.2871 0.3675

Properties
Final energy, eV per atom: -2.27
Excess energy over the best structure of this formula in the dataset, eV/atom: 0.016
Space-group type: C2/m

Record 9
The following is a DFT calculation (PBE) of an optimized crystal structure of TePt2I.

Lattice parameters (Å, degrees): 4.9215 4.9215 4.9215 60.00 60.00 60.00
Atoms (fractional coordinates):
1 Te 0.0000 0.0000 0.0000
2 Pt 0.2500 0.2500 0.2500
3 Pt 0.7500 0.7500 0.7500
4 I 0.5000 0.5000 0.5000

Properties
Final energy, eV per atom: -3.65
Excess energy over the best structure of this formula in the dataset, eV/atom: 0.439
Space-group type: Fm-3m

Record 10
The following is a DFT calculation (PBE) of an optimized crystal structure of TiTe2PtI.

Lattice parameters (Å, degrees): 5.3368 5.3368 5.1624 90.00 90.00 90.00
Atoms (fractional coordinates):
1 Ti 0.0000 0.0000 0.0000
2 Te 0.0000 0.5000 0.0000
3 Te 0.5000 0.0000 0.0000
4 Pt 0.5000 0.5000 0.5000
5 I 0.0000 0.0000 0.5000

Properties
Final energy, eV per atom: -3.84
Excess energy over the best structure of this formula in the dataset, eV/atom: 0.000
Space-group type: P4/mmm

Record 11
The following is a DFT calculation (PBE) of an optimized crystal structure of TiTe2PtI.

Lattice parameters (Å, degrees): 5.3057 5.3057 5.3877 90.00 90.00 90.00
Atoms (fractional coordinates):
1 Ti 0.0000 0.0000 0.0000
2 Te 0.0000 0.5000 0.5000
3 Te 0.5000 0.0000 0.5000
4 Pt 0.5000 0.5000 0.5000
5 I 0.5000 0.5000 0.0000

Properties
Final energy, eV per atom: -3.78
Excess energy over the best structure of this formula in the dataset, eV/atom: 0.060
Space-group type: P4/mmm

Record 12
The following is a DFT calculation (PBE) of an optimized crystal structure of TlTePtI2.

Lattice parameters (Å, degrees): 5.9133 5.9133 5.8888 90.00 90.00 90.00
Atoms (fractional coordinates):
1 Tl 0.0000 0.0000 0.0000
2 Te 0.0000 0.0000 0.5000
3 Pt 0.5000 0.5000 0.5000
4 I 0.0000 0.5000 0.0000
5 I 0.5000 0.0000 0.0000

Properties
Final energy, eV per atom: -1.90
Excess energy over the best structure of this formula in the dataset, eV/atom: 1.121
Space-group type: P4/mmm

Record 13
The following is a DFT calculation (PBE) of an optimized crystal structure of TlTePtI2.

Lattice parameters (Å, degrees): 5.7027 5.7027 5.2593 90.00 90.00 90.00
Atoms (fractional coordinates):
1 Tl 0.0000 0.0000 0.0000
2 Te 0.5000 0.5000 0.0000
3 Pt 0.5000 0.5000 0.5000
4 I 0.0000 0.5000 0.5000
5 I 0.5000 0.0000 0.5000

Properties
Final energy, eV per atom: -3.02
Excess energy over the best structure of this formula in the dataset, eV/atom: 0.000
Space-group type: P4/mmm

Record 14
The following is a DFT calculation (PBE) of an optimized crystal structure of Te2PtWI.

Lattice parameters (Å, degrees): 5.2981 5.2981 5.3438 90.00 90.00 90.00
Atoms (fractional coordinates):
1 Te 0.0000 0.5000 0.0000
2 Te 0.5000 0.0000 0.0000
3 Pt 0.0000 0.0000 0.0000
4 W 0.5000 0.5000 0.5000
5 I 0.0000 0.0000 0.5000

Properties
Final energy, eV per atom: -4.04
Excess energy over the best structure of this formula in the dataset, eV/atom: 0.200
Space-group type: P4/mmm

Record 15
The following is a DFT calculation (PBE) of an optimized crystal structure of TePtWI2.

Lattice parameters (Å, degrees): 5.3832 5.3832 5.3890 90.00 90.00 90.00
Atoms (fractional coordinates):
1 Te 0.0000 0.0000 0.0000
2 Pt 0.0000 0.0000 0.5000
3 W 0.5000 0.5000 0.0000
4 I 0.0000 0.5000 0.5000
5 I 0.5000 0.0000 0.5000

Properties
Final energy, eV per atom: -3.70
Excess energy over the best structure of this formula in the dataset, eV/atom: 0.132
Space-group type: P4/mmm

Record 16
The following is a DFT calculation (PBE) of an optimized crystal structure of Te2PtWI.

Lattice parameters (Å, degrees): 5.2058 5.2058 5.4277 90.00 90.00 90.00
Atoms (fractional coordinates):
1 Te 0.0000 0.5000 0.0000
2 Te 0.5000 0.0000 0.0000
3 Pt 0.0000 0.0000 0.5000
4 W 0.5000 0.5000 0.0000
5 I 0.5000 0.5000 0.5000

Properties
Final energy, eV per atom: -4.24
Excess energy over the best structure of this formula in the dataset, eV/atom: 0.000
Space-group type: P4/mmm

Record 17
The following is a DFT calculation (PBE) of an optimized crystal structure of TePtWI2.

Lattice parameters (Å, degrees): 5.3589 5.3589 5.2513 90.00 90.00 90.00
Atoms (fractional coordinates):
1 Te 0.0000 0.0000 0.0000
2 Pt 0.5000 0.5000 0.0000
3 W 0.0000 0.0000 0.5000
4 I 0.0000 0.5000 0.5000
5 I 0.5000 0.0000 0.5000

Properties
Final energy, eV per atom: -3.84
Excess energy over the best structure of this formula in the dataset, eV/atom: 0.000
Space-group type: P4/mmm

Record 18
The following is a DFT calculation (PBE) of an optimized crystal structure of TePtW2I.

Lattice parameters (Å, degrees): 5.0124 5.0124 5.3304 90.00 90.00 90.00
Atoms (fractional coordinates):
1 Te 0.0000 0.0000 0.0000
2 Pt 0.0000 0.0000 0.5000
3 W 0.0000 0.5000 0.5000
4 W 0.5000 0.0000 0.5000
5 I 0.5000 0.5000 0.0000

Properties
Final energy, eV per atom: -5.46
Space-group type: P4/mmm

Record 19
The following is a DFT calculation (PBE) of an optimized crystal structure of YTe2PtI.

Lattice parameters (Å, degrees): 5.8808 5.8808 5.7422 90.00 90.00 90.00
Atoms (fractional coordinates):
1 Y 0.0000 0.0000 0.0000
2 Te 0.0000 0.5000 0.0000
3 Te 0.5000 0.0000 0.0000
4 Pt 0.5000 0.5000 0.5000
5 I 0.0000 0.0000 0.5000

Properties
Final energy, eV per atom: -3.67
Excess energy over the best structure of this formula in the dataset, eV/atom: 0.610
Space-group type: P4/mmm

Record 20
The following is a DFT calculation (PBE) of an optimized crystal structure of YTe2PtI.

Lattice parameters (Å, degrees): 5.3731 5.3731 5.3407 90.00 90.00 90.00
Atoms (fractional coordinates):
1 Y 0.0000 0.0000 0.0000
2 Te 0.0000 0.5000 0.5000
3 Te 0.5000 0.0000 0.5000
4 Pt 0.5000 0.5000 0.5000
5 I 0.5000 0.5000 0.0000

Properties
Final energy, eV per atom: -4.28
Excess energy over the best structure of this formula in the dataset, eV/atom: 0.000
Space-group type: P4/mmm

Record 21
The following is a DFT calculation (PBE) of an optimized crystal structure of ZnTePtI2.

Lattice parameters (Å, degrees): 5.3525 5.3525 5.3776 90.00 90.00 90.00
Atoms (fractional coordinates):
1 Zn 0.0000 0.0000 0.0000
2 Te 0.0000 0.0000 0.5000
3 Pt 0.5000 0.5000 0.5000
4 I 0.0000 0.5000 0.0000
5 I 0.5000 0.0000 0.0000

Properties
Final energy, eV per atom: -1.87
Excess energy over the best structure of this formula in the dataset, eV/atom: 0.534
Space-group type: P4/mmm

Record 22
The following is a DFT calculation (PBE) of an optimized crystal structure of Zn2TePtI.

Lattice parameters (Å, degrees): 4.9866 4.9866 5.3191 90.00 90.00 90.00
Atoms (fractional coordinates):
1 Zn 0.0000 0.5000 0.0000
2 Zn 0.5000 0.0000 0.0000
3 Te 0.0000 0.0000 0.5000
4 Pt 0.0000 0.0000 0.0000
5 I 0.5000 0.5000 0.5000

Properties
Final energy, eV per atom: -2.67
Space-group type: P4/mmm

Record 23
The following is a DFT calculation (PBE) of an optimized crystal structure of ZnTe2PtI.

Lattice parameters (Å, degrees): 5.2639 5.2639 5.2503 90.00 90.00 90.00
Atoms (fractional coordinates):
1 Zn 0.0000 0.0000 0.0000
2 Te 0.0000 0.5000 0.0000
3 Te 0.5000 0.0000 0.0000
4 Pt 0.5000 0.5000 0.5000
5 I 0.0000 0.0000 0.5000

Properties
Final energy, eV per atom: -2.13
Excess energy over the best structure of this formula in the dataset, eV/atom: 0.506
Space-group type: P4/mmm

Record 24
The following is a DFT calculation (PBE) of an optimized crystal structure of ZnTe2PtI.

Lattice parameters (Å, degrees): 5.3446 5.3446 5.5571 90.00 90.00 90.00
Atoms (fractional coordinates):
1 Zn 0.0000 0.0000 0.0000
2 Te 0.0000 0.5000 0.5000
3 Te 0.5000 0.0000 0.5000
4 Pt 0.5000 0.5000 0.5000
5 I 0.5000 0.5000 0.0000

Properties
Final energy, eV per atom: -2.64
Excess energy over the best structure of this formula in the dataset, eV/atom: 0.000
Space-group type: P4/mmm

Record 25
The following is a DFT calculation (PBE) of an optimized crystal structure of ZnTePtI2.

Lattice parameters (Å, degrees): 5.6089 5.6089 5.2391 90.00 90.00 90.00
Atoms (fractional coordinates):
1 Zn 0.0000 0.0000 0.0000
2 Te 0.5000 0.5000 0.0000
3 Pt 0.5000 0.5000 0.5000
4 I 0.0000 0.5000 0.5000
5 I 0.5000 0.0000 0.5000

Properties
Final energy, eV per atom: -2.40
Excess energy over the best structure of this formula in the dataset, eV/atom: 0.000
Space-group type: P4/mmm

Record 26
The following is a DFT calculation (PBE) of an optimized crystal structure of ZrTePtI2.

Lattice parameters (Å, degrees): 5.3506 5.3506 5.4053 90.00 90.00 90.00
Atoms (fractional coordinates):
1 Zr 0.0000 0.0000 0.0000
2 Te 0.5000 0.5000 0.0000
3 Pt 0.5000 0.5000 0.5000
4 I 0.0000 0.5000 0.5000
5 I 0.5000 0.0000 0.5000

Properties
Final energy, eV per atom: -3.74
Excess energy over the best structure of this formula in the dataset, eV/atom: 0.000
Space-group type: P4/mmm

Record 27
The following is a DFT calculation (PBE) of an optimized crystal structure of ZrTePtI2.

Lattice parameters (Å, degrees): 5.5915 5.5915 5.6829 90.00 90.00 90.00
Atoms (fractional coordinates):
1 Zr 0.0000 0.0000 0.0000
2 Te 0.0000 0.0000 0.5000
3 Pt 0.5000 0.5000 0.5000
4 I 0.0000 0.5000 0.0000
5 I 0.5000 0.0000 0.0000

Properties
Final energy, eV per atom: -3.71
Excess energy over the best structure of this formula in the dataset, eV/atom: 0.023
Space-group type: P4/mmm

Record 28
The following is a DFT calculation (PBE) of an optimized crystal structure of ThPtI.

Lattice parameters (Å, degrees): 4.0168 4.0168 11.8207 90.00 90.00 90.00
Atoms (fractional coordinates):
1 Th 0.2500 0.2500 0.1779
2 Th 0.7500 0.7500 0.8221
3 Pt 0.2500 0.7500 0.0000
4 Pt 0.7500 0.2500 0.0000
5 I 0.2500 0.2500 0.6604
6 I 0.7500 0.7500 0.3396

Properties
Final energy, eV per atom: -6.08
Space-group type: P4/nmm

Number 1: density 9.08 g/cm3. Number 2: density 10.80 g/cm3. Number 3: density 8.19 g/cm3. Number 4: density 8.89 g/cm3. Number 5: density 4.49 g/cm3. Number 6: density 8.88 g/cm3. Number 7: density 9.09 g/cm3. Number 8: density 4.19 g/cm3. Number 9: density 12.70 g/cm3. Number 10: density 7.06 g/cm3. Number 11: density 6.84 g/cm3. Number 12: density 6.30 g/cm3. Number 13: density 7.58 g/cm3. Number 14: density 8.42 g/cm3. Number 15: density 8.08 g/cm3. Number 16: density 8.59 g/cm3. Number 17: density 8.37 g/cm3. Number 18: density 10.13 g/cm3. Number 19: density 5.57 g/cm3. Number 20: density 7.17 g/cm3. Number 21: density 6.92 g/cm3. Number 22: density 7.29 g/cm3. Number 23: density 7.33 g/cm3. Number 24: density 6.72 g/cm3. Number 25: density 6.47 g/cm3. Number 26: density 7.17 g/cm3. Number 27: density 6.24 g/cm3. Number 28: density 9.65 g/cm3.